<A>
VASP calculation (PBE) on crystalline TbHo2Zr at its relaxed geometry.

Cell lengths 4.0046, 4.0046, 7.2257 Å; angles 90.00, 90.00, 90.00 degrees
Space group P4/mmm (No. 123)
One atom of each set of equivalent atoms:
Tb  0.0000  0.0000  0.0000 (multiplicity 1)
Ho  0.5000  0.5000  0.2749 (multiplicity 2)
Zr  0.0000  0.0000  0.5000 (multiplicity 1)

Results
DOS(E_F)   8.0 states/eV/cell

***

<B>
VASP calculation (PBE) on crystalline TbHo2Zr at its relaxed geometry.

Cell lengths 3.4331, 3.4331, 33.8137 Å; angles 90.00, 90.00, 120.00 degrees
Space group R-3m (No. 166, hexagonal axes)
One atom of each set of equivalent atoms:
Tb  0.0000  0.0000  0.0000 (multiplicity 3)
Ho  0.0000  0.0000  0.2450 (multiplicity 6)
Zr  0.0000  0.0000  0.5000 (multiplicity 3)

Results
DOS(E_F)   15.8 states/eV/cell

***

Stability summary: most stable <B>, least stable <A>.

***

<A>
VASP calculation (PBE) on crystalline Tb5Ho4Zr at its relaxed geometry.

Cell lengths 10.3578, 10.3578, 5.9125 Å; angles 90.00, 90.00, 90.00 degrees
Space group I4mm (No. 107)
One atom of each set of equivalent atoms:
Tb  0.0000  0.0000  0.0000 (multiplicity 2)
Tb  0.1844  0.1844  0.2985 (multiplicity 8)
Ho  0.0000  0.3213  0.7662 (multiplicity 8)
Zr  0.0000  0.0000  0.5423 (multiplicity 2)

Results
DOS(E_F)   27.3 states/eV/cell

***

<B>
VASP calculation (PBE) on crystalline Tb5Ho4Zr at its relaxed geometry.

Cell lengths 17.5012, 3.4309, 10.7678 Å; angles 90.00, 106.81, 90.00 degrees
Space group C2/m (No. 12)
One atom of each set of equivalent atoms:
Tb  0.0000  0.0000  0.0000 (multiplicity 2)
Tb  0.1035  0.5000  0.7798 (multiplicity 4)
Tb  0.2054  0.5000  0.0994 (multiplicity 4)
Ho  0.0909  0.5000  0.3134 (multiplicity 4)
Ho  0.1940  0.0000  0.5808 (multiplicity 4)
Zr  0.0000  0.0000  0.5000 (multiplicity 2)

Results
DOS(E_F)   32.0 states/eV/cell

***

Stability summary: most stable <B>, least stable <A>.

***

<A>
VASP calculation (PBE) on crystalline Tb4Ho5Zr at its relaxed geometry.

Cell lengths 10.3821, 10.3821, 5.8852 Å; angles 90.00, 90.00, 90.00 degrees
Space group I4mm (No. 107)
One atom of each set of equivalent atoms:
Tb  0.0000  0.3210  0.0000 (multiplicity 8)
Ho  0.0000  0.0000  0.2380 (multiplicity 2)
Ho  0.1844  0.1844  0.5330 (multiplicity 8)
Zr  0.0000  0.0000  0.7761 (multiplicity 2)

Results
DOS(E_F)   28.6 states/eV/cell

***

<B>
VASP calculation (PBE) on crystalline Tb4Ho5Zr at its relaxed geometry.

Cell lengths 3.4919, 7.0227, 12.6019 Å; angles 82.02, 82.05, 89.82 degrees
Space group P-1 (No. 2)
One atom of each set of equivalent atoms:
Tb  0.0961  0.2875  0.3086 (multiplicity 2)
Tb  0.0960  0.8086  0.3085 (multiplicity 2)
Ho  0.2993  0.8984  0.9012 (multiplicity 2)
Ho  0.3008  0.4015  0.8987 (multiplicity 2)
Ho  0.5000  0.5000  0.5000 (multiplicity 1)
Zr  0.5000  0.0000  0.5000 (multiplicity 1)

Results
DOS(E_F)   11.3 states/eV/cell

***

Stability summary: most stable <B>, least stable <A>.

***

<A>
VASP calculation (PBE) on crystalline Tb3Ho4Zr at its relaxed geometry.

Cell lengths 22.5745, 3.3915, 6.6979 Å; angles 90.00, 107.25, 90.00 degrees
Space group C2/m (No. 12)
One atom of each set of equivalent atoms:
Tb  0.0000  0.0000  0.0000 (multiplicity 2)
Tb  0.1203  0.0000  0.3854 (multiplicity 4)
Ho  0.1202  0.0000  0.8534 (multiplicity 4)
Ho  0.2415  0.5000  0.7428 (multiplicity 4)
Zr  0.0000  0.5000  0.5000 (multiplicity 2)

Results
DOS(E_F)   26.0 states/eV/cell

***

<B>
VASP calculation (PBE) on crystalline Tb3Ho4Zr at its relaxed geometry.

Cell lengths 11.1139, 7.1343, 6.1564 Å; angles 90.00, 90.00, 90.00 degrees
Space group Pmn2_1 (No. 31)
One atom of each set of equivalent atoms:
Tb  0.0000  0.1180  0.0000 (multiplicity 2)
Tb  0.2484  0.1210  0.3264 (multiplicity 4)
Ho  0.0000  0.3731  0.5004 (multiplicity 2)
Ho  0.0000  0.6315  0.9970 (multiplicity 2)
Ho  0.2435  0.6290  0.3392 (multiplicity 4)
Zr  0.0000  0.8749  0.5032 (multiplicity 2)

Results
DOS(E_F)   29.5 states/eV/cell

***

Stability summary: most stable <B>, least stable <A>.

***

<A>
VASP calculation (PBE) on crystalline Tb7Ho12Zr at its relaxed geometry.

Cell lengths 12.3020, 12.3020, 14.6779 Å; angles 90.00, 90.00, 120.00 degrees
Space group R-3 (No. 148, hexagonal axes)
One atom of each set of equivalent atoms:
Tb  0.0000  0.0000  0.0000 (multiplicity 3)
Tb  0.0657  0.2292  0.3966 (multiplicity 18)
Ho  0.0186  0.5825  0.7171 (multiplicity 18)
Ho  0.0489  0.8612  0.8153 (multiplicity 18)
Zr  0.0000  0.0000  0.5000 (multiplicity 3)

Results
DOS(E_F)   111.6 states/eV/cell

***

<B>
VASP calculation (PBE) on crystalline Tb7Ho12Zr at its relaxed geometry.

Cell lengths 11.2929, 11.2929, 11.2929 Å; angles 90.00, 90.00, 90.00 degrees
Space group Im-3m (No. 229)
One atom of each set of equivalent atoms:
Tb  0.0000  0.0000  0.5000 (multiplicity 6)
Tb  0.2500  0.2500  0.2500 (multiplicity 8)
Ho  0.0000  0.2187  0.2187 (multiplicity 24)
Zr  0.0000  0.0000  0.0000 (multiplicity 2)

Results
DOS(E_F)   43.0 states/eV/cell

***

Stability summary: most stable <A>, least stable <B>.

***

<A>
VASP calculation (PBE) on crystalline Tb8Ho2Zr at its relaxed geometry.

Cell lengths 17.9063, 4.9660, 7.8772 Å; angles 90.00, 105.36, 90.00 degrees
Space group C2/m (No. 12)
One atom of each set of equivalent atoms:
Tb  0.0442  0.0000  0.2361 (multiplicity 4)
Tb  0.0895  0.5000  0.9442 (multiplicity 4)
Tb  0.1324  0.0000  0.6758 (multiplicity 4)
Tb  0.1789  0.5000  0.4106 (multiplicity 4)
Ho  0.2260  0.0000  0.1343 (multiplicity 4)
Zr  0.0000  0.5000  0.5000 (multiplicity 2)

Results
DOS(E_F)   28.6 states/eV/cell

***

<B>
VASP calculation (PBE) on crystalline Tb8Ho2Zr at its relaxed geometry.

Cell lengths 16.5297, 6.5328, 6.5571 Å; angles 90.00, 102.30, 90.00 degrees
Space group C2/m (No. 12)
One atom of each set of equivalent atoms:
Tb  0.0801  0.2441  0.3862 (multiplicity 8)
Tb  0.0949  0.0000  0.9159 (multiplicity 4)
Tb  0.2465  0.5000  0.3380 (multiplicity 4)
Ho  0.1839  0.5000  0.8200 (multiplicity 4)
Zr  0.0000  0.5000  0.0000 (multiplicity 2)

Results
DOS(E_F)   36.4 states/eV/cell

***

Stability summary: most stable <A>, least stable <B>.

***

<A>
VASP calculation (PBE) on crystalline Ho3TcTe at its relaxed geometry.

Cell lengths 14.9676, 4.8074, 8.4678 Å; angles 90.00, 114.64, 90.00 degrees
Space group C2/m (No. 12)
One atom of each set of equivalent atoms:
Ho  0.0668  0.0000  0.2077 (multiplicity 4)
Ho  0.1057  0.5000  0.8447 (multiplicity 4)
Ho  0.2407  0.0000  0.7436 (multiplicity 4)
Tc  0.1730  0.0000  0.0097 (multiplicity 4)
Te  0.1247  0.5000  0.4707 (multiplicity 4)

Results
DOS(E_F)   11.8 states/eV/cell

***

<B>
VASP calculation (PBE) on crystalline Ho3TcTe at its relaxed geometry.

Cell lengths 11.9964, 4.3088, 11.4953 Å; angles 90.00, 116.80, 90.00 degrees
Space group C2/m (No. 12)
One atom of each set of equivalent atoms:
Ho  0.0357  0.0000  0.3632 (multiplicity 4)
Ho  0.1271  0.5000  0.1666 (multiplicity 4)
Ho  0.1742  0.5000  0.8794 (multiplicity 4)
Tc  0.0442  0.0000  0.9193 (multiplicity 4)
Te  0.1728  0.5000  0.6033 (multiplicity 4)

Results
DOS(E_F)   14.8 states/eV/cell

***

Stability summary: most stable <B>, least stable <A>.

***

<A>
VASP calculation (PBE) on crystalline HoTh2Tc at its relaxed geometry.

Cell lengths 7.3020, 9.7309, 6.2921 Å; angles 90.00, 90.00, 90.00 degrees
Space group Pnma (No. 62)
One atom of each set of equivalent atoms:
Ho  0.0404  0.2500  0.1450 (multiplicity 4)
Th  0.1705  0.0626  0.6685 (multiplicity 8)
Tc  0.1146  0.7500  0.4087 (multiplicity 4)

Results
DOS(E_F)   18.4 states/eV/cell

***

<B>
VASP calculation (PBE) on crystalline HoTh2Tc at its relaxed geometry.

Cell lengths 3.8241, 3.8241, 30.6803 Å; angles 90.00, 90.00, 120.00 degrees
Space group R-3m (No. 166, hexagonal axes)
One atom of each set of equivalent atoms:
Ho  0.0000  0.0000  0.0000 (multiplicity 3)
Th  0.0000  0.0000  0.1116 (multiplicity 6)
Tc  0.0000  0.0000  0.5000 (multiplicity 3)

Results
DOS(E_F)   15.3 states/eV/cell

***

Stability summary: most stable <A>, least stable <B>.

***

<A>
VASP calculation (PBE) on crystalline Ho3TlTc at its relaxed geometry.

Cell lengths 6.6041, 9.6967, 16.1909 Å; angles 90.00, 90.00, 90.00 degrees
Space group Fmmm (No. 69)
One atom of each set of equivalent atoms:
Ho  0.0000  0.0000  0.2003 (multiplicity 8)
Ho  0.0000  0.1893  0.3871 (multiplicity 16)
Tl  0.2148  0.0000  0.0000 (multiplicity 8)
Tc  0.2500  0.2500  0.2500 (multiplicity 8)

Results
DOS(E_F)   34.1 states/eV/cell

***

<B>
VASP calculation (PBE) on crystalline Ho3TlTc at its relaxed geometry.

Cell lengths 12.7807, 5.2999, 8.5827 Å; angles 90.00, 114.32, 90.00 degrees
Space group C2/m (No. 12)
One atom of each set of equivalent atoms:
Ho  0.0767  0.0000  0.2297 (multiplicity 4)
Ho  0.0878  0.5000  0.8798 (multiplicity 4)
Ho  0.2129  0.0000  0.7252 (multiplicity 4)
Tl  0.1268  0.5000  0.4962 (multiplicity 4)
Tc  0.1817  0.0000  0.0191 (multiplicity 4)

Results
DOS(E_F)   14.2 states/eV/cell

***

Stability summary: most stable <A>, least stable <B>.

***

<A>
VASP calculation (PBE) on crystalline HoTmTc at its relaxed geometry.

Cell lengths 4.3486, 18.0974, 3.9616 Å; angles 90.00, 90.00, 90.00 degrees
Space group Cmcm (No. 63)
One atom of each set of equivalent atoms:
Ho  0.0000  0.1971  0.2500 (multiplicity 4)
Tm  0.0000  0.4168  0.2500 (multiplicity 4)
Tc  0.0000  0.0365  0.2500 (multiplicity 4)

Results
DOS(E_F)   13.9 states/eV/cell

***

<B>
VASP calculation (PBE) on crystalline HoTmTc at its relaxed geometry.

Cell lengths 3.4467, 3.4467, 12.2045 Å; angles 90.00, 90.00, 90.00 degrees
Space group I4mm (No. 107)
One atom of each set of equivalent atoms:
Ho  0.0000  0.0000  0.0000 (multiplicity 2)
Tm  0.0000  0.0000  0.7374 (multiplicity 2)
Tc  0.0000  0.0000  0.3673 (multiplicity 2)

Results
DOS(E_F)   7.0 states/eV/cell

***

Stability summary: most stable <B>, least stable <A>.